The following is a PBE calculation of a geometry-optimized SrBi2Mo structure, from Alexandria via LeMat-Bulk.

Calculated values
Formation energy from the elements = 0.26 eV per atom
Size of the total moment = 1.62 μB per cell
Energy relative to the lowest polymorph listed for this composition = 2.02 kJ/mol of atoms

Lattice parameters (Å, degrees): 5.291 5.291 5.291 60.00 60.00 60.00
Element x y z (fractional)
Sr: 0.000 0.000 0.000
Bi: 0.250 0.250 0.250
Bi: 0.750 0.750 0.750
Mo: 0.500 0.500 0.500

The following is a PBE calculation of a geometry-optimized LiZnPb structure, from Alexandria via LeMat-Bulk.

Calculated values
Formation energy from the elements = -0.06 eV per atom
Size of the total moment = 0.00 μB per cell

Lattice parameters (Å, degrees): 8.520 8.520 4.529 90.00 90.00 156.68
Element x y z (fractional)
Li: 0.079 0.921 0.750
Li: 0.921 0.079 0.250
Zn: 0.457 0.543 0.750
Zn: 0.543 0.457 0.250
Pb: 0.198 0.802 0.250
Pb: 0.802 0.198 0.750

The following is a PBE calculation of a geometry-optimized Sm3TeAsSe structure, from Alexandria via LeMat-Bulk.

Calculated values
ΔE_f (raw) = -1.34 eV per atom
Size of the total moment = 0.54 μB per cell

Lattice parameters (Å, degrees): 8.299 8.299 7.084 97.78 97.78 129.20
Element x y z (fractional)
Sm: 0.170 0.315 0.999
Sm: 0.249 0.751 0.750
Sm: 0.315 0.170 0.499
Sm: 0.685 0.830 0.501
Sm: 0.751 0.249 0.250
Sm: 0.830 0.685 0.001
Te: 0.251 0.749 0.250
Te: 0.749 0.251 0.750
As: 0.062 0.938 0.750
As: 0.938 0.062 0.250
Se: 0.441 0.559 0.750
Se: 0.559 0.441 0.250